# 1
The following is a DFT calculation (PBE-GGA) of a geometry-optimized NdEr2Tm4 structure.

- Total energy: -0.1640 Ha/atom
- N(E_F): 22.078 states/eV per cell
- Formation energy: 0.078 eV per atom
- V: 436 Å³/cell

Lattice parameters (Å, degrees): 8.3866 9.7645 9.7756 144.36 97.48 95.03
Atoms (fractional coordinates):
Nd (0.1984, 0.3168, 0.3318)
Nd (0.0516, 0.8837, 0.6183)
Er (0.5568, 0.5009, 0.7374)
Er (0.6933, 0.9327, 0.4462)
Er (0.6252, 0.5623, 0.4374)
Er (0.1250, 0.2586, 0.6335)
Tm (0.7691, 0.1132, 0.2667)
Tm (0.2743, 0.5869, 0.2372)
Tm (0.9755, 0.7125, 0.8120)
Tm (0.8332, 0.2126, 0.0108)
Tm (0.3381, 0.8918, 0.1892)
Tm (0.4809, 0.2483, 0.8453)
Tm (0.4169, 0.9272, 0.8795)
Tm (0.9117, 0.6024, 0.0546)



# 2
The following is a DFT calculation (PBE-GGA) of a geometry-optimized NdEr2Tm structure.

- Total energy: -0.1644 Ha/atom
- N(E_F): 7.602 states/eV per cell
- Formation energy: 0.117 eV per atom
- V: 129 Å³/cell

Lattice parameters (Å, degrees): 3.9998 3.9998 8.0706 90.00 90.00 90.00
Atoms (fractional coordinates):
Tm (0.5000, 0.5000, 0.0000)
Nd (0.5000, 0.5000, 0.5000)
Er (0.0000, 0.0000, 0.7688)
Er (0.0000, 0.0000, 0.2312)



# 3
The following is a DFT calculation (PBE-GGA) of a geometry-optimized Nd3Er2Tm6 structure.

- Total energy: -0.1670 Ha/atom
- N(E_F): 13.910 states/eV per cell
- Formation energy: 0.025 eV per atom
- V: 345 Å³/cell

Lattice parameters (Å, degrees): 3.5501 3.5501 31.6607 86.79 86.79 60.00
Atoms (fractional coordinates):
Nd (0.0000, 0.0000, 0.0000)
Nd (0.7280, 0.7280, 0.8161)
Nd (0.2720, 0.2720, 0.1839)
Er (0.5448, 0.5448, 0.3657)
Er (0.4552, 0.4552, 0.6343)
Tm (0.9079, 0.9079, 0.2763)
Tm (0.0921, 0.0921, 0.7237)
Tm (0.8184, 0.8184, 0.5447)
Tm (0.1816, 0.1816, 0.4553)
Tm (0.6360, 0.6360, 0.0919)
Tm (0.3640, 0.3640, 0.9081)



# 4
The following is a DFT calculation (PBE-GGA) of a geometry-optimized Nd3ErTm structure.

- Total energy: -0.1653 Ha/atom
- N(E_F): 28.674 states/eV per cell
- Formation energy: 0.170 eV per atom
- V: 689 Å³/cell

Lattice parameters (Å, degrees): 3.5646 11.0168 17.5391 90.00 90.00 90.00
Atoms (fractional coordinates):
Nd (0.7431, 0.5000, 0.7500)
Nd (0.2569, 0.0000, 0.2500)
Nd (0.2569, 0.5000, 0.2500)
Nd (0.7431, 0.0000, 0.7500)
Nd (0.2451, 0.5559, 0.9238)
Nd (0.2451, 0.4441, 0.5762)
Nd (0.7549, 0.0559, 0.0762)
Nd (0.7549, 0.9441, 0.4238)
Nd (0.2451, 0.0559, 0.5762)
Nd (0.2451, 0.9441, 0.9238)
Nd (0.7549, 0.5559, 0.4238)
Nd (0.7549, 0.4441, 0.0762)
Er (0.7595, 0.2500, 0.2260)
Er (0.7595, 0.7500, 0.2740)
Er (0.2405, 0.7500, 0.7740)
Er (0.2405, 0.2500, 0.7260)
Tm (0.7391, 0.2500, 0.8990)
Tm (0.7391, 0.7500, 0.6010)
Tm (0.2609, 0.7500, 0.1010)
Tm (0.2609, 0.2500, 0.3990)



# 5
The following is a DFT calculation (PBE-GGA) of a geometry-optimized Nd6Er2Tm3 structure.

- Total energy: -0.1595 Ha/atom
- N(E_F): 16.269 states/eV per cell
- Formation energy: 0.309 eV per atom
- V: 381 Å³/cell

Lattice parameters (Å, degrees): 4.7441 4.7441 17.2471 97.91 97.91 90.00
Atoms (fractional coordinates):
Nd (0.1200, 0.6200, 0.2399)
Nd (0.6200, 0.1200, 0.2399)
Nd (0.8800, 0.3800, 0.7601)
Nd (0.3800, 0.8800, 0.7601)
Nd (0.7049, 0.7049, 0.4099)
Nd (0.2951, 0.2951, 0.5901)
Er (0.4550, 0.4550, 0.9100)
Er (0.5450, 0.5450, 0.0900)
Tm (0.0000, 0.0000, 0.0000)
Tm (0.8059, 0.8059, 0.6118)
Tm (0.1941, 0.1941, 0.3882)



# 6
The following is a DFT calculation (PBE-GGA) of a geometry-optimized Nd3Er4Tm3 structure.

- Total energy: -0.1652 Ha/atom
- N(E_F): 7.368 states/eV per cell
- Formation energy: 0.102 eV per atom
- V: 322 Å³/cell

Lattice parameters (Å, degrees): 3.6641 9.3767 9.3767 90.38 90.00 90.00
Atoms (fractional coordinates):
Nd (0.5000, 0.8272, 0.1728)
Nd (0.5000, 0.3254, 0.3267)
Nd (0.5000, 0.6733, 0.6746)
Er (0.0000, 0.6256, 0.3744)
Er (0.0000, 0.3728, 0.6272)
Er (0.0000, 0.8789, 0.8723)
Er (0.0000, 0.1277, 0.1211)
Tm (0.0000, 0.4928, 0.9976)
Tm (0.0000, 0.0024, 0.5072)
Tm (0.5000, 0.1739, 0.8261)